## CoRe2Si (PBE-GGA)

Data for an optimized crystal structure of CoRe2Si.

Calculated values
For the total energy, the calculation gives -9.366 eV per atom.

Lattice parameters (Å, degrees): 4.5648 4.5648 4.5648 130.97 130.97 71.86
With the nearest neighbours (Å) after each atom.
Positions (direct):
Co: 0.0000 0.0000 0.0000  8 Re 2.65-2.68, 4 Si 2.65
Re: 0.2500 0.7500 0.5000  4 Re 2.65, 4 Co 2.65, 4 Si 2.68
Re: 0.5000 0.5000 0.0000  4 Re 2.65, 4 Si 2.65, 4 Co 2.68
Si: 0.7500 0.2500 0.5000  8 Re 2.65-2.68, 4 Co 2.65